1.
## PPd3Pb (PBEsol)

Data for crystalline PPd3Pb at its relaxed geometry.

a = 4.918 Å, b = 4.918 Å, c = 4.918 Å
α = 90.00°, β = 90.00°, γ = 90.00°
Positions (direct):
P  0.000  0.000  0.000
Pd  0.000  0.500  0.500
Pd  0.500  0.000  0.500
Pd  0.500  0.500  0.000
Pb  0.500  0.500  0.500

## Properties
- energy relative to the elements (eV/atom) = 1.1981
- density (g/cm3) = 7.8
- ΔE to the lowest computed polymorph (meV/atom) = 1490.0

2.
## BaCaMg4 (PBEsol)

Data for crystalline BaCaMg4 at its relaxed geometry.

a = 6.343 Å, b = 6.343 Å, c = 6.343 Å
α = 60.00°, β = 60.00°, γ = 60.00°
Positions (direct):
Ba  0.000  0.000  0.000
Ca  0.250  0.250  0.250
Mg  0.126  0.625  0.625
Mg  0.625  0.126  0.625
Mg  0.625  0.625  0.126
Mg  0.625  0.625  0.625

## Properties
- energy relative to the elements (eV/atom) = -0.1047
- density (g/cm3) = 2.5

3.
## Li3Cr3FeO8 (PBEsol)

Data for crystalline Li3Cr3FeO8 at its relaxed geometry.

a = 5.711 Å, b = 5.711 Å, c = 5.815 Å
α = 119.78°, β = 119.78°, γ = 59.95°
Positions (direct):
Li  0.000  0.000  0.000
Li  0.000  0.500  0.000
Li  0.500  0.000  0.000
Cr  0.000  0.000  0.500
Cr  0.000  0.500  0.500
Cr  0.500  0.000  0.500
Fe  0.500  0.500  0.500
O  0.238  0.238  0.717
O  0.242  0.741  0.715
O  0.259  0.259  0.274
O  0.259  0.758  0.285
O  0.741  0.242  0.715
O  0.741  0.741  0.726
O  0.758  0.259  0.285
O  0.762  0.762  0.283

## Properties
- density (g/cm3) = 4.5
- ΔE to the lowest computed polymorph (meV/atom) = 19.1
- formation energy without anion corrections (meV/atom) = -1869